PBE-GGA AcEuTl4, optimized geometry; total magnetic moment = 1.239 μB per atom; SG = No. 216; ΔE_f = -0.23 eV per atom
1.0
-4.937 -3.390 -2.362
0.086 -1.966 -6.129
0.746 -6.246 -1.366
Eu Ac Tl
1 1 4
direct
0.250 0.250 0.250
0.000 0.000 0.000
0.625 0.625 0.125
0.625 0.125 0.625
0.625 0.625 0.625
0.125 0.625 0.625